# TePd3I

A PBEsol-optimized structure of TePd3I (SCAN, the Alexandria database).

Calculated values
The value obtained for the total energy is -33.8787 eV per atom. The calculated volume is 120 Å³ per cell. For the total magnetization, the calculation gives 0.0 Bohr magnetons per cell.

Lattice parameters (Å, degrees): 4.937 4.937 4.937 90.00 90.00 90.00
Fractional coordinates of all 5 atoms:
1 Te 0.000 0.000 0.000
2 Pd 0.000 0.500 0.500
3 Pd 0.500 0.000 0.500
4 Pd 0.500 0.500 0.000
5 I 0.500 0.500 0.500

# CsYNb6Br18

A PBEsol-optimized structure of CsYNb6Br18 (SCAN, the Alexandria database).

Calculated values
The value obtained for the total energy is -24.9166 eV per atom. The calculated volume is 1460 Å³ per cell. For the total magnetization, the calculation gives 0.0 Bohr magnetons per cell.

Lattice parameters (Å, degrees): 9.670 9.670 18.029 90.00 90.00 120.00
Fractional coordinates of all 52 atoms:
1 Cs 0.333 0.667 0.250
2 Cs 0.667 0.333 0.750
3 Y 0.333 0.667 0.750
4 Y 0.667 0.333 0.250
5 Nb 0.038 0.191 0.566
6 Nb 0.038 0.847 0.934
7 Nb 0.153 0.191 0.934
8 Nb 0.153 0.962 0.566
9 Nb 0.191 0.038 0.066
10 Nb 0.191 0.153 0.434
11 Nb 0.809 0.847 0.566
12 Nb 0.809 0.962 0.934
13 Nb 0.847 0.038 0.434
14 Nb 0.847 0.809 0.066
15 Nb 0.962 0.153 0.066
16 Nb 0.962 0.809 0.434
17 Br 0.045 0.234 0.338
18 Br 0.045 0.810 0.162
19 Br 0.081 0.448 0.661
20 Br 0.081 0.632 0.839
21 Br 0.143 0.422 0.000
22 Br 0.143 0.721 0.500
23 Br 0.190 0.234 0.162
24 Br 0.190 0.955 0.338
25 Br 0.234 0.045 0.838
26 Br 0.234 0.190 0.662
27 Br 0.279 0.422 0.500
28 Br 0.279 0.857 0.000
29 Br 0.368 0.448 0.839
30 Br 0.368 0.919 0.661
31 Br 0.422 0.143 0.500
32 Br 0.422 0.279 0.000
33 Br 0.448 0.081 0.161
34 Br 0.448 0.368 0.339
35 Br 0.552 0.632 0.661
36 Br 0.552 0.919 0.839
37 Br 0.578 0.721 0.000
38 Br 0.578 0.857 0.500
39 Br 0.632 0.081 0.339
40 Br 0.632 0.552 0.161
41 Br 0.721 0.143 0.000
42 Br 0.721 0.578 0.500
43 Br 0.766 0.810 0.338
44 Br 0.766 0.955 0.162
45 Br 0.810 0.045 0.662
46 Br 0.810 0.766 0.838
47 Br 0.857 0.279 0.500
48 Br 0.857 0.578 0.000
49 Br 0.919 0.368 0.161
50 Br 0.919 0.552 0.339
51 Br 0.955 0.190 0.838
52 Br 0.955 0.766 0.662

# Rb2HfAsW

A PBEsol-optimized structure of Rb2HfAsW (SCAN, the Alexandria database).

Calculated values
For the formation energy, the calculation gives 40.48 kcal/mol of atoms. The calculated volume is 169 Å³ per cell. For the total magnetization, the calculation gives 2.6 Bohr magnetons per cell.

Lattice parameters (Å, degrees): 5.837 5.837 4.960 90.00 90.00 90.00
Fractional coordinates of all 5 atoms:
1 Rb 0.000 0.500 0.000
2 Rb 0.500 0.000 0.000
3 Hf 0.000 0.000 0.500
4 As 0.500 0.500 0.500
5 W 0.000 0.000 0.000

# TaRh2Au

A PBEsol-optimized structure of TaRh2Au (SCAN, the Alexandria database).

Calculated values
For the formation energy, the calculation gives -2.03 kcal/mol of atoms. The calculated volume is 61 Å³ per cell. For the total magnetization, the calculation gives 0.0 Bohr magnetons per cell.

Lattice parameters (Å, degrees): 4.427 4.427 4.427 60.00 60.00 60.00
Fractional coordinates of all 4 atoms:
1 Ta 0.000 0.000 0.000
2 Rh 0.500 0.500 0.500
3 Rh 0.750 0.750 0.750
4 Au 0.250 0.250 0.250